[1]
Density functional theory data (PBEsol) for an optimized crystal structure of LaI3N.

Cell lengths 6.2143, 6.2143, 6.2143 Å; angles 90.00, 90.00, 90.00 degrees
With the nearest neighbours (Å) after each atom.
Fractional positions:
1 La 0.0000 0.0000 0.0000  6 I 3.11
2 I 0.0000 0.0000 0.5000  2 La 3.11
3 I 0.0000 0.5000 0.0000  2 La 3.11
4 I 0.5000 0.0000 0.0000  2 La 3.11
5 N 0.5000 0.5000 0.5000  12 I 4.39

symmetry: Pm-3m
DFT total energy: -3.866 eV per atom
uncorrected formation energy: -0.031 eV/atom

***

[2]
Density functional theory data (PBEsol) for an optimized crystal structure of LaI2N2.

Cell lengths 4.3963, 4.3963, 5.6443 Å; angles 90.00, 90.00, 90.00 degrees
With the nearest neighbours (Å) after each atom.
Fractional positions:
1 La 0.0000 0.0000 0.0000  4 I 3.11
2 I 0.5000 0.5000 0.0000  2 I 2.82, 4 La 3.11
3 I 0.5000 0.5000 0.5000  4 N 2.20
4 N 0.0000 0.5000 0.5000  2 I 2.20
5 N 0.5000 0.0000 0.5000  2 I 2.20

symmetry: P4/mmm
DFT total energy: -4.159 eV per atom
uncorrected formation energy: 1.027 eV/atom

***

[3]
Density functional theory data (PBEsol) for an optimized crystal structure of NaLaI2N.

Cell lengths 6.4241, 6.4241, 4.1669 Å; angles 90.00, 90.00, 90.00 degrees
With the nearest neighbours (Å) after each atom.
Fractional positions:
1 Na 0.0000 0.0000 0.0000  8 I 3.83, 2 Na 4.17
2 La 0.5000 0.5000 0.5000  2 N 2.08
3 I 0.0000 0.5000 0.5000  2 La 3.21
4 I 0.5000 0.0000 0.5000  2 La 3.21
5 N 0.5000 0.5000 0.0000  2 La 2.08

symmetry: P4/mmm
DFT total energy: -4.556 eV per atom
uncorrected formation energy: -0.795 eV/atom

***

[4]
Density functional theory data (PBEsol) for an optimized crystal structure of LaIN2O.

Cell lengths 4.3872, 4.3872, 4.0049 Å; angles 90.00, 90.00, 90.00 degrees
With the nearest neighbours (Å) after each atom.
Fractional positions:
1 La 0.0000 0.0000 0.0000  8 N 2.97, 4 I 3.10
2 I 0.5000 0.5000 0.0000  2 O 2.00
3 N 0.0000 0.5000 0.5000  2 O 2.19
4 N 0.5000 0.0000 0.5000  2 O 2.19
5 O 0.5000 0.5000 0.5000  2 I 2.00, 4 N 2.19

symmetry: P4/mmm
DFT total energy: -5.097 eV per atom
uncorrected formation energy: 0.786 eV/atom